Below is a relaxed La2TmAs3Rh4 crystal, with properties calculated at the PBE level.

E_form: -1.0139 eV per atom

abc: 4.160 4.160 11.432
angles: 90.00 90.00 90.00
Fractional positions:
As 0.000 0.500 0.127
As 0.000 0.000 0.500
As 0.500 0.000 0.873
Rh 0.500 0.500 0.000
Rh 0.000 0.000 0.000
Rh 0.000 0.500 0.343
Rh 0.500 0.000 0.657
La 0.000 0.500 0.771
La 0.500 0.000 0.229
Tm 0.500 0.500 0.500

***

Below is a relaxed LaTmAs2Rh5 crystal, with properties calculated at the PBE level.

E_form: -0.6127 eV per atom

abc: 4.085 4.085 11.203
angles: 90.00 90.00 90.00
Fractional positions:
Rh 0.500 0.000 0.178
Rh 0.000 0.500 0.178
Rh 0.000 0.500 0.822
Rh 0.500 0.500 0.500
Rh 0.500 0.000 0.822
As 0.500 0.500 0.714
As 0.500 0.500 0.286
Tm 0.000 0.000 0.000
La 0.000 0.000 0.500

***

Below is a relaxed La2TmAs3Rh12 crystal, with properties calculated at the PBE level.

E_form: -0.3262 eV per atom

abc: 6.843 6.843 6.843
angles: 83.46 83.46 83.46
Fractional positions:
Rh 0.185 0.185 0.675
Rh 0.325 0.815 0.815
Rh 0.902 0.374 0.374
Rh 0.626 0.098 0.626
Rh 0.185 0.675 0.185
Rh 0.815 0.815 0.325
Rh 0.098 0.626 0.626
Rh 0.675 0.185 0.185
Rh 0.626 0.626 0.098
Rh 0.374 0.902 0.374
Rh 0.374 0.374 0.902
Rh 0.815 0.325 0.815
As 0.500 0.000 0.000
As 0.000 0.000 0.500
As 0.000 0.500 0.000
La 0.635 0.635 0.635
La 0.365 0.365 0.365
Tm 0.000 0.000 0.000

***

Below is a relaxed La2UAs3Rh4 crystal, with properties calculated at the PBE level.

E_form: -0.8878 eV per atom

abc: 4.226 4.226 11.201
angles: 90.00 90.00 90.00
Each line ends with the local moment (μB).
Fractional positions:
As 0.500 0.000 0.872  0.01
As 0.000 0.500 0.128  0.01
As 0.000 0.000 0.500  -0.04
La 0.500 0.000 0.226  0.04
La 0.000 0.500 0.774  0.04
Rh 0.000 0.000 0.000  0.08
Rh 0.500 0.000 0.649  -0.08
Rh 0.500 0.500 0.000  0.07
Rh 0.000 0.500 0.351  -0.08
U 0.500 0.500 0.500  2.02

***

Below is a relaxed La2VAs4Rh3 crystal, with properties calculated at the PBE level.

E_form: -0.9247 eV per atom

abc: 4.345 4.345 10.139
angles: 90.00 90.00 90.00
Each line ends with the local moment (μB).
Fractional positions:
As 0.500 0.000 0.632  -0.06
As 0.000 0.500 0.368  -0.06
As 0.000 0.000 0.000  0.00
As 0.500 0.500 0.000  0.00
Rh 0.000 0.000 0.500  -0.08
Rh 0.500 0.000 0.881  -0.01
Rh 0.000 0.500 0.119  -0.01
La 0.500 0.000 0.239  0.03
La 0.000 0.500 0.761  0.03
V 0.500 0.500 0.500  1.76

***

Below is a relaxed La2YAs4Rh3 crystal, with properties calculated at the PBE level.

E_form: -1.0363 eV per atom

abc: 4.374 4.374 10.897
angles: 90.00 90.00 90.00
Fractional positions:
Rh 0.000 0.500 0.108
Rh 0.500 0.000 0.892
Rh 0.000 0.000 0.500
La 0.000 0.500 0.778
La 0.500 0.000 0.222
Y 0.500 0.500 0.500
As 0.500 0.500 0.000
As 0.000 0.000 0.000
As 0.500 0.000 0.662
As 0.000 0.500 0.338

***

Below is a relaxed La2ZnAs4Rh3 crystal, with properties calculated at the PBE level.

E_form: -0.8966 eV per atom

abc: 4.355 4.355 10.159
angles: 90.00 90.00 90.00
Fractional positions:
Rh 0.000 0.000 0.500
Rh 0.500 0.000 0.882
Rh 0.000 0.500 0.118
As 0.500 0.000 0.639
As 0.000 0.500 0.361
As 0.500 0.500 0.000
As 0.000 0.000 0.000
La 0.000 0.500 0.758
La 0.500 0.000 0.242
Zn 0.500 0.500 0.500

***

Below is a relaxed La2ZrAs3Rh4 crystal, with properties calculated at the PBE level.

E_form: -0.9880 eV per atom

abc: 4.179 4.179 11.147
angles: 90.00 90.00 90.00
Fractional positions:
As 0.500 0.000 0.868
As 0.000 0.500 0.132
As 0.000 0.000 0.500
Rh 0.000 0.000 0.000
Rh 0.500 0.500 0.000
Rh 0.500 0.000 0.645
Rh 0.000 0.500 0.355
La 0.000 0.500 0.770
La 0.500 0.000 0.230
Zr 0.500 0.500 0.500

***

Below is a relaxed LaAsRu crystal, with properties calculated at the PBE level.

E_form: -0.7475 eV per atom

abc: 4.267 4.267 4.254
angles: 90.00 90.00 120.00
Fractional positions:
Ru 0.333 0.667 0.833
As 0.000 0.000 0.833
La 0.667 0.333 0.334

***

Below is a relaxed LaAs3Ru crystal, with properties calculated at the PBE level.

offset from the most stable computed form: 1792 meV per atom
E_form: 1.5607 eV per atom

abc: 5.431 5.431 5.431
angles: 90.00 90.00 90.00
Fractional positions:
Ru 0.500 0.500 0.500
As 0.000 0.500 0.000
As 0.500 0.000 0.000
As 0.000 0.000 0.500
La 0.000 0.000 0.000

***

Below is a relaxed LaAsRu crystal, with properties calculated at the PBE level.

E_form: -0.4524 eV per atom

abc: 6.178 6.178 3.253
angles: 74.74 74.73 30.53
Fractional positions:
As 0.035 0.035 0.965
La 0.328 0.328 0.672
Ru 0.636 0.636 0.364

***

Below is a relaxed La3AsRu crystal, with properties calculated at the PBE level.

offset from the most stable computed form: 230 meV per atom
E_form: -0.4238 eV per atom

abc: 5.396 5.396 5.396
angles: 90.00 90.00 90.00
Fractional positions:
Ru 0.000 0.000 0.000
La 0.000 0.500 0.000
La 0.000 0.000 0.500
La 0.500 0.000 0.000
As 0.500 0.500 0.500

***

Below is a relaxed La2AsRu2 crystal, with properties calculated at the PBE level.

offset from the most stable computed form: 0 meV per atom
E_form: -0.4029 eV per atom

abc: 7.019 7.019 4.411
angles: 90.00 90.00 90.00
Fractional positions:
Ru 0.874 0.626 0.000
Ru 0.626 0.126 0.000
Ru 0.374 0.874 0.000
Ru 0.126 0.374 0.000
La 0.313 0.187 0.500
La 0.187 0.687 0.500
La 0.687 0.813 0.500
La 0.813 0.313 0.500
As 0.500 0.500 0.000
As 0.000 0.000 0.000

***

Below is a relaxed La2AsRu2 crystal, with properties calculated at the PBE level.

offset from the most stable computed form: 45 meV per atom
E_form: -0.3579 eV per atom

abc: 3.703 3.703 8.892
angles: 77.98 77.98 90.00
Each line ends with the local moment (μB).
Fractional positions:
La 0.604 0.604 0.793  0.00
La 0.396 0.396 0.207  0.00
Ru 0.750 0.250 0.500  0.21
Ru 0.250 0.750 0.500  0.21
As 0.000 0.000 0.000  0.00

***

Below is a relaxed LaAs2Ru2 crystal, with properties calculated at the PBE level.

E_form: -0.7835 eV per atom

abc: 4.216 4.216 6.167
angles: 110.18 110.18 89.95
Fractional positions:
Ru 0.250 0.750 0.500
Ru 0.750 0.250 0.500
As 0.634 0.634 0.269
As 0.367 0.367 0.731
La 0.000 0.000 0.000

***

Below is a relaxed LaAsRu crystal, with properties calculated at the PBE level.

E_form: -0.8498 eV per atom

abc: 4.249 4.249 7.275
angles: 90.00 90.00 90.00
Fractional positions:
As 0.500 0.000 0.192
As 0.000 0.500 0.808
La 0.000 0.500 0.312
La 0.500 0.000 0.688
Ru 0.500 0.500 0.000
Ru 0.000 0.000 0.000

***

Below is a relaxed La2As7Ru12 crystal, with properties calculated at the PBE level.

E_form: -0.4311 eV per atom

abc: 4.061 9.837 9.837
angles: 120.00 90.00 90.00
Fractional positions:
Ru 0.500 0.218 0.457
Ru 0.500 0.719 0.103
Ru 0.500 0.384 0.281
Ru 0.000 0.273 0.031
Ru 0.500 0.239 0.782
Ru 0.000 0.449 0.510
Ru 0.000 0.969 0.242
Ru 0.500 0.543 0.761
Ru 0.000 0.490 0.939
Ru 0.000 0.061 0.551
Ru 0.500 0.897 0.616
Ru 0.000 0.758 0.727
La 0.500 0.000 0.000
La 0.000 0.667 0.333
As 0.000 0.031 0.779
As 0.500 0.621 0.557
As 0.000 0.333 0.667
As 0.000 0.748 0.969
As 0.000 0.221 0.252
As 0.500 0.936 0.379
As 0.500 0.443 0.064

***

Below is a relaxed LaAsRu crystal, with properties calculated at the PBE level.

E_form: -0.4367 eV per atom

abc: 4.592 4.592 4.592
angles: 60.00 60.00 60.00
Fractional positions:
As 0.000 0.000 0.000
La 0.500 0.500 0.500
Ru 0.750 0.750 0.750

***

Below is a relaxed LaAsRu crystal, with properties calculated at the PBE level.

E_form: 0.4104 eV per atom

abc: 4.775 4.775 4.775
angles: 60.00 60.00 60.00
Fractional positions:
La 0.750 0.750 0.750
As 0.500 0.500 0.500
Ru 0.000 0.000 0.000

***

Below is a relaxed LaAs4Ru crystal, with properties calculated at the PBE level.

E_form: 0.1407 eV per atom

abc: 5.595 5.595 5.595
angles: 60.00 60.00 60.00
Each line ends with the local moment (μB).
Fractional positions:
As 0.373 0.373 0.881  0.00
As 0.881 0.373 0.373  0.00
As 0.373 0.373 0.373  0.00
As 0.373 0.881 0.373  0.00
La 0.750 0.750 0.750  -0.04
Ru 0.000 0.000 0.000  1.35